A relaxed structure of AlCu3As. Source: Alexandria, functional PBE.

E_form	0.467	eV per atom
symmetry	Pm-3m
energy	-3.6689	eV/atom
energy above the lowest structure with this stoichiometry	0	meV/atom
volume	94.6	Å³ per cell

Cell: 4.556 4.556 4.556 Å, 90.00 90.00 90.00°
Fractional coordinates of all 5 atoms:
Cu1 0.500 0.000 0.000
As1 0.000 0.000 0.000
Cu2 0.000 0.500 0.000
Cu3 0.000 0.000 0.500
Al1 0.500 0.500 0.500

***

A relaxed structure of Al4CuAs. Source: Alexandria, functional PBE.

E_form	0.311	eV per atom
symmetry	F-43m
energy	-3.6419	eV/atom
volume	104.1	Å³ per cell

Cell: 5.281 5.281 5.281 Å, 60.00 60.00 60.00°
Fractional coordinates of all 6 atoms:
Al1 0.374 0.877 0.374
Al2 0.374 0.374 0.374
Cu1 0.000 0.000 0.000
Al3 0.877 0.374 0.374
Al4 0.374 0.374 0.877
As1 0.750 0.750 0.750